# 1
Material: VRu2W
Method: DFT, GGA-PBE
State: relaxed

```
VRu2W
1.0
3.9919 0.0000 0.0000
0.0000 3.9919 0.0000
0.0000 0.0000 3.6295
V Ru W
1 2 1
Direct
0.0000 0.0000 0.0000 V
0.0000 0.5000 0.5000 Ru
0.5000 0.0000 0.5000 Ru
0.5000 0.5000 0.0000 W
```

Output
D(E_F) ... 1.2525 states/eV/atom
Calculated formation energy ... -0.026 eV/atom
Energy above the lowest structure with this stoichiometry ... 76 meV/atom

***

# 2
Material: Er3Pb2Au
Method: DFT, GGA-PBE
State: relaxed

```
Er3Pb2Au
1.0
7.7306 -3.1389 0.0000
7.7306 3.1389 0.0000
-1.7120 0.0000 6.6244
Er Pb Au
6 4 2
Direct
0.1422 0.8578 0.7500 Er
0.2544 0.4251 0.4080 Er
0.4251 0.2544 0.9080 Er
0.5749 0.7456 0.0920 Er
0.7456 0.5749 0.5920 Er
0.8578 0.1422 0.2500 Er
0.0754 0.2499 0.0515 Pb
0.2499 0.0754 0.5515 Pb
0.7501 0.9246 0.4485 Pb
0.9246 0.7501 0.9485 Pb
0.3847 0.6153 0.2500 Au
0.6153 0.3847 0.7500 Au
```

Output
D(E_F) ... 0.6554 states/eV/atom
Calculated formation energy ... -0.481 eV/atom
Energy above the lowest structure with this stoichiometry ... 44 meV/atom

***

# 3
Material: LiY4Tc
Method: DFT, GGA-PBE
State: relaxed

```
LiY4Tc
1.0
0.0000 4.3988 4.3988
4.3988 0.0000 4.3988
4.3988 4.3988 0.0000
Li Y Tc
1 4 1
Direct
0.0000 0.0000 0.0000 Li
0.3768 0.3768 0.3768 Y
0.3768 0.3768 0.8696 Y
0.3768 0.8696 0.3768 Y
0.8696 0.3768 0.3768 Y
0.7500 0.7500 0.7500 Tc
```

Output
D(E_F) ... 1.6104 states/eV/atom
Calculated formation energy ... 0.882 eV/atom

***

# 4
Material: Ac2TiSi3Ir4
Method: DFT, GGA-PBE
State: relaxed

```
Ac2TiSi3Ir4
1.0
4.2187 0.0000 0.0000
0.0000 4.2187 0.0000
0.0000 0.0000 10.6383
Ac Ti Si Ir
2 1 3 4
Direct
0.0000 0.5000 0.2484 Ac
0.5000 0.0000 0.7516 Ac
0.0000 0.0000 0.5000 Ti
0.0000 0.5000 0.8795 Si
0.5000 0.0000 0.1205 Si
0.5000 0.5000 0.5000 Si
0.0000 0.0000 0.0000 Ir
0.0000 0.5000 0.6367 Ir
0.5000 0.0000 0.3633 Ir
0.5000 0.5000 0.0000 Ir
```

Output
ΔE_f (raw) ... -0.924 eV per atom
D(E_F) ... 0.4382 states/eV/atom

***

# 5
Material: GaNi2Pt5
Method: DFT, GGA-PBE
State: relaxed

```
GaNi2Pt5
1.0
2.0438 -7.7633 0.0000
2.0438 7.7633 0.0000
0.0000 0.0000 10.0383
Ga Ni Pt
2 4 10
Direct
0.1606 0.8394 0.7500 Ga
0.8394 0.1606 0.2500 Ga
0.1313 0.8687 0.0351 Ni
0.1313 0.8687 0.4649 Ni
0.8687 0.1313 0.5351 Ni
0.8687 0.1313 0.9649 Ni
0.0154 0.9846 0.6260 Pt
0.0154 0.9846 0.8740 Pt
0.2241 0.7759 0.2500 Pt
0.2794 0.7206 0.5756 Pt
0.2794 0.7206 0.9244 Pt
0.7206 0.2794 0.0756 Pt
0.7206 0.2794 0.4244 Pt
0.7759 0.2241 0.7500 Pt
0.9846 0.0154 0.1260 Pt
0.9846 0.0154 0.3740 Pt
```

Output
D(E_F) ... 1.3212 states/eV/atom
Calculated formation energy ... 0.347 eV/atom
Energy above the lowest structure with this stoichiometry ... 611 meV/atom

***

# 6
Material: ZnFe2Au
Method: DFT, GGA-PBE
State: relaxed

```
ZnFe2Au
1.0
1.4163 0.8177 8.3168
-1.4163 0.8177 8.3168
0.0000 -1.6354 8.3168
Zn Fe Au
1 2 1
Direct
0.0000 0.0000 0.0000 Zn
0.2510 0.2510 0.2510 Fe
0.5147 0.5147 0.5147 Fe
0.7581 0.7581 0.7581 Au
```

Output
D(E_F) ... 0.5818 states/eV/atom
Calculated formation energy ... 0.124 eV/atom